No. 1
GaP2HPt PBE optimized geometry; D(E_F) = 0.171 states/eV/atom; VASP energy = -4.7993 eV/atom
1.0
-1.691 -0.298 -2.671
-2.300 -2.021 3.482
-1.266 5.333 1.961
P H Ga Pt
2 1 1 1
Cartesian
-2.494 4.133 1.444
-2.584 3.386 3.469
-2.300 -1.054 2.062
-2.272 1.165 -0.197
-2.896 1.142 3.877

No. 2
GaP2HPt PBE optimized geometry; D(E_F) = 0.188 states/eV/atom; VASP energy = -4.7685 eV/atom
1.0
-5.269 1.592 0.156
0.033 -0.207 3.245
4.609 7.563 0.434
P Pt Ga H
4 2 2 2
Cartesian
3.109 6.864 2.034
0.788 3.186 0.195
0.109 1.792 1.742
2.396 5.677 0.337
-0.017 5.458 0.348
-2.304 1.573 1.753
0.168 7.517 2.106
-2.153 3.838 0.267
-2.970 1.430 0.122
-0.649 5.108 1.961

No. 3
GaP2HPt PBE optimized geometry; D(E_F) = 0.191 states/eV/atom; VASP energy = -4.6705 eV/atom
1.0
3.701 0.000 -0.003
0.000 3.567 0.000
-3.317 0.000 11.732
H P Pt Ga
2 4 2 2
Cartesian
-0.270 1.783 7.961
1.389 0.000 2.095
0.315 1.783 0.230
-0.422 0.000 11.082
1.236 1.783 5.216
-1.344 0.000 6.096
-0.488 0.000 1.871
-2.147 1.783 7.736
-0.627 1.783 3.603
-2.285 0.000 9.468

No. 4
GaP2HPt PBE optimized geometry; D(E_F) = 0.256 states/eV/atom; VASP energy = -4.7949 eV/atom
1.0
-0.267 -2.699 -2.937
1.803 -3.204 2.366
-3.386 -2.497 2.245
Pt P H Ga
1 2 1 1
Cartesian
-0.065 -3.366 -1.641
-0.067 -3.791 0.668
-3.187 -3.506 1.136
-0.306 -2.421 1.354
-0.877 -6.199 1.076

No. 5
GaP2HPt PBE optimized geometry; D(E_F) = 0.218 states/eV/atom; VASP energy = -4.7239 eV/atom
1.0
4.086 0.000 0.022
0.000 3.261 0.000
0.028 0.000 5.623
H Pt Ga P
1 1 1 2
Cartesian
1.507 1.630 3.538
3.189 0.000 1.805
1.156 1.630 1.433
3.342 0.000 4.195
0.621 1.630 4.675

No. 6
GaP2HPt PBE optimized geometry; D(E_F) = 0.157 states/eV/atom; VASP energy = -4.9149 eV/atom
1.0
-3.731 -0.964 1.619
1.090 -3.100 0.667
5.984 3.956 8.607
H P Ga Pt
2 4 2 2
Cartesian
0.550 0.975 3.634
4.087 1.403 8.271
1.485 2.447 8.950
3.353 1.410 9.504
-0.184 0.982 4.868
-0.962 -1.080 4.980
-0.492 0.160 1.548
3.045 0.588 6.185
0.755 1.732 6.820
-1.692 -1.795 2.850